Entry 1:
VASP calculation (GGA-PBE) on a relaxed Cd2GaAg9 crystal.

```
Cd2GaAg9
1.0
-1.9333 -3.6038 -0.7127
3.2572 -1.3092 -2.2156
5.1843 -4.8559 10.4911
Ag Cd Ga
9 2 1
direct
0.0000 0.5000 0.8389
0.5000 0.5000 0.6704
0.5000 0.5000 0.3296
0.5000 0.0000 0.8389
0.0000 0.5000 0.5000
0.0000 0.5000 0.1611
0.5000 0.5000 0.0000
0.5000 0.0000 0.1611
0.5000 0.0000 0.5000
0.0000 0.0000 0.6695
0.0000 0.0000 0.3305
0.0000 0.0000 0.0000
```

Output
V, Å³/atom: 18.2
Density of states at the Fermi level, states/eV/f.u.: 3.87
E_form, eV/atom: -0.02
Calculated total energy, eV for the cell shown: -30.75
ρ, kg/m3: 9624
SG: P4/mmm, No. 123

=====

Entry 2:
VASP calculation (GGA-PBE) on a relaxed Cd5GaAg2 crystal.

```
Cd5GaAg2
1.0
5.7666 -0.3950 -1.7312
-3.2841 4.7560 -1.7327
0.2212 0.3905 6.0171
Cd Ag Ga
5 2 1
direct
0.7775 0.7778 0.4995
0.2780 0.2782 0.5005
0.7778 0.2780 0.0000
0.2782 0.7775 0.0000
0.2775 0.2772 0.0000
0.2778 0.7781 0.5000
0.7778 0.2781 0.5000
0.7785 0.7782 0.0000
```

Output
V, Å³/atom: 20.7
Energy relative to the lowest polymorph listed for this composition, eV/atom: 0.000
Density of states at the Fermi level, states/eV/f.u.: 2.08
E_form, eV/atom: 0.01
Calculated total energy, eV for the cell shown: -13.23
ρ, kg/m3: 8513
SG: I4mm, No. 107

=====

Entry 3:
VASP calculation (GGA-PBE) on a relaxed CdGa3Ag12 crystal.

```
CdGa3Ag12
1.0
4.1149 0.0000 0.0000
0.0000 4.1149 0.0000
0.0000 0.0000 16.7766
Ag Ga Cd
12 3 1
direct
0.5000 0.5000 0.7469
0.5000 0.5000 0.2531
0.0000 0.5000 0.1292
0.5000 0.0000 0.8708
0.5000 0.0000 0.3760
0.0000 0.5000 0.3760
0.5000 0.5000 0.5000
0.5000 0.0000 0.6240
0.0000 0.5000 0.6240
0.5000 0.5000 0.0000
0.0000 0.5000 0.8708
0.5000 0.0000 0.1292
0.0000 0.0000 0.5000
0.0000 0.0000 0.7483
0.0000 0.0000 0.2517
0.0000 0.0000 0.0000
```

Output
V, Å³/atom: 17.8
Density of states at the Fermi level, states/eV/f.u.: 4.96
E_form, eV/atom: 0.00
Calculated total energy, eV for the cell shown: -44.24
ρ, kg/m3: 9447
SG: P4/mmm, No. 123

=====

Entry 4:
VASP calculation (GGA-PBE) on a relaxed Cd3Ga2Ag3 crystal.

```
Cd3Ga2Ag3
1.0
-2.1966 3.2085 0.5481
0.0508 -0.7157 4.3929
8.5030 3.4855 -0.3929
Cd Ag Ga
3 3 2
direct
0.8769 0.4379 0.7538
0.0000 0.0000 0.0000
0.1231 0.5621 0.2462
0.6242 0.0563 0.2484
0.5000 0.5000 0.0000
0.3758 0.9437 0.7516
0.2481 0.2370 0.4962
0.7519 0.7630 0.5038
```

Output
V, Å³/atom: 19.5
Energy relative to the lowest polymorph listed for this composition, eV/atom: 0.006
Density of states at the Fermi level, states/eV/f.u.: 2.68
E_form, eV/atom: 0.00
Calculated total energy, eV for the cell shown: -17.37
ρ, kg/m3: 8499
SG: C2/m, No. 12

=====

Entry 5:
VASP calculation (GGA-PBE) on a relaxed Cd4GaAg15 crystal.

```
Cd4GaAg15
1.0
4.1538 0.0000 0.0000
0.0000 4.1538 0.0000
0.0000 0.0000 21.2080
Ag Ga Cd
15 1 4
direct
0.5000 0.5000 0.8037
0.5000 0.0000 0.5000
0.5000 0.5000 0.1963
0.0000 0.5000 0.2977
0.5000 0.5000 0.0000
0.5000 0.5000 0.6010
0.0000 0.5000 0.7023
0.5000 0.0000 0.0955
0.0000 0.5000 0.0955
0.0000 0.5000 0.5000
0.0000 0.5000 0.9045
0.5000 0.0000 0.2977
0.5000 0.0000 0.7023
0.5000 0.0000 0.9045
0.5000 0.5000 0.3990
0.0000 0.0000 0.0000
0.0000 0.0000 0.8035
0.0000 0.0000 0.1965
0.0000 0.0000 0.3989
0.0000 0.0000 0.6011
```

Output
V, Å³/atom: 18.3
Density of states at the Fermi level, states/eV/f.u.: 4.28
E_form, eV/atom: -0.03
Calculated total energy, eV for the cell shown: -50.09
ρ, kg/m3: 9699
SG: P4/mmm, No. 123

=====

Entry 6:
VASP calculation (GGA-PBE) on a relaxed Cd3GaAg4 crystal.

```
Cd3GaAg4
1.0
-4.4399 0.2220 0.6194
-0.4042 -2.0621 -2.1584
4.3082 -1.8701 15.2886
Cd Ag Ga
3 4 1
direct
0.0000 0.5000 0.0000
0.7818 0.4737 0.5636
0.2182 0.5263 0.4364
0.6536 0.5527 0.3071
0.1020 0.6918 0.2040
0.3464 0.4473 0.6929
0.8980 0.3082 0.7960
0.5000 0.0000 0.0000
```

Output
V, Å³/atom: 20.4
Energy relative to the lowest polymorph listed for this composition, eV/atom: 0.118
Density of states at the Fermi level, states/eV/f.u.: 1.47
E_form, eV/atom: 0.09
Calculated total energy, eV for the cell shown: -16.44
ρ, kg/m3: 8532
SG: C2/m, No. 12

=====

Entry 7:
VASP calculation (GGA-PBE) on a relaxed Cd2GaAg crystal.

```
Cd2GaAg
1.0
-3.4009 1.6703 -1.9276
1.4690 -1.4227 -3.8245
-2.1478 -3.7257 0.5610
Ag Cd Ga
1 2 1
direct
0.5000 0.0000 0.0000
0.0000 0.0000 0.5000
0.0000 0.5000 0.0000
0.5000 0.5000 0.5000
```

Output
V, Å³/atom: 20.0
Density of states at the Fermi level, states/eV/f.u.: 1.23
E_form, eV/atom: 0.03
Calculated total energy, eV for the cell shown: -7.57
ρ, kg/m3: 8357
SG: P4/mmm, No. 123

=====

Entry 8:
VASP calculation (GGA-PBE) on a relaxed Cd12GaAg6 crystal.

```
Cd12GaAg6
1.0
-2.1125 -6.4958 -2.5781
0.6403 -3.1149 6.5721
-6.9945 1.3375 1.6101
Ag Cd Ga
6 12 1
direct
0.1135 0.7359 0.2645
0.2645 0.1135 0.7359
0.8865 0.2641 0.7355
0.7355 0.8865 0.2641
0.2641 0.7355 0.8865
0.7359 0.2645 0.1135
0.4275 0.8046 0.5225
0.0451 0.1546 0.3783
0.5225 0.4275 0.8046
0.5725 0.1954 0.4775
0.1546 0.3783 0.0451
0.8454 0.6217 0.9549
0.6217 0.9549 0.8454
0.8046 0.5225 0.4275
0.4775 0.5725 0.1954
0.1954 0.4775 0.5725
0.3783 0.0451 0.1546
0.9549 0.8454 0.6217
0.0000 0.0000 0.0000
```

Output
V, Å³/atom: 20.4
Density of states at the Fermi level, states/eV/f.u.: 3.83
E_form, eV/atom: -0.03
Calculated total energy, eV for the cell shown: -31.74
ρ, kg/m3: 8832
SG: R-3, No. 148